(1)
This record from Alexandria via LeMat-Bulk describes a PBEsol-optimized structure of NaIN2F. The functional is meta-GGA SCAN.

abc: 4.0169 4.0169 4.7057
angles: 90.00 90.00 90.00
Closest atoms and distances in Å follow each position.
Atoms (fractional coordinates):
F1 0.0000 0.0000 0.5000  2 I 2.35
N1 0.5000 0.0000 0.0000  2 I 2.01
N2 0.0000 0.5000 0.0000  2 I 2.01
Na1 0.5000 0.5000 0.5000  4 F 2.84, 8 N 3.09
I1 0.0000 0.0000 0.0000  4 N 2.01

Output
Total magnetic moment   0.0 μB/f.u.
ΔE to the lowest computed polymorph   0 meV/atom
SG   P4/mmm (123)

(2)
This record from Alexandria via LeMat-Bulk describes a PBEsol-optimized structure of NaIN2F. The functional is meta-GGA SCAN.

abc: 4.5816 4.5816 5.9081
angles: 90.00 90.00 90.00
Closest atoms and distances in Å follow each position.
Atoms (fractional coordinates):
I1 0.0000 0.0000 0.5000  2 Na 2.95, 4 F 3.24
N1 0.0000 0.5000 0.0000  2 Na 2.29
N2 0.5000 0.0000 0.0000  2 Na 2.29
Na1 0.0000 0.0000 0.0000  4 N 2.29
F1 0.5000 0.5000 0.5000  4 I 3.24

Output
Total magnetic moment   7.0 μB/f.u.
ΔE to the lowest computed polymorph   853 meV/atom
SG   P4/mmm (123)

(3)
This record from Alexandria via LeMat-Bulk describes a PBEsol-optimized structure of NaIN2F. The functional is meta-GGA SCAN.

abc: 3.9706 4.7049 4.7049
angles: 90.00 90.00 90.00
Closest atoms and distances in Å follow each position.
Atoms (fractional coordinates):
N1 0.0000 0.0000 0.5000  2 Na 2.35
F1 0.5000 0.0000 0.0000  2 Na 1.99
I1 0.5000 0.5000 0.5000  8 N 3.08, 4 F 3.33
N2 0.0000 0.5000 0.0000  2 Na 2.35
Na1 0.0000 0.0000 0.0000  2 F 1.99

Output
Total magnetic moment   5.0 μB/f.u.
ΔE to the lowest computed polymorph   497 meV/atom
SG   P4/mmm (123)

(4)
This record from Alexandria via LeMat-Bulk describes a PBEsol-optimized structure of NbI2NF. The functional is meta-GGA SCAN.

abc: 3.4782 5.2719 5.2719
angles: 90.00 90.00 90.00
Closest atoms and distances in Å follow each position.
Atoms (fractional coordinates):
N1 0.5000 0.0000 0.0000  2 F 1.74
I1 0.0000 0.0000 0.5000  2 F 2.64
Nb1 0.5000 0.5000 0.5000  8 I 3.16, 2 Nb 3.48
F1 0.0000 0.0000 0.0000  2 N 1.74
I2 0.0000 0.5000 0.0000  2 F 2.64

Output
Total magnetic moment   0.7 μB/f.u.
SG   P4/mmm (123)

Formation energy without anion corrections (computed, eV/f.u.): 2.9, 7.2, 5.4, 6.1
DOS(E_F) (computed, states/eV/cell): 1.1, 1.6, 2.7, 3.2